Record 1
First-principles (PBE) data for an optimized crystal structure of TbZn3Pd, as listed in Alexandria via LeMat-Bulk.

For the calculated formation energy, the calculation gives -0.498 eV/atom. The electronic total energy is -3.227 eV per atom.

The space group is P2_1/m (No. 11) and the conventional cell measures 5.4885, 5.3988 and 6.0223 Å, with angles of 90.00, 92.10 and 90.00 degrees. The asymmetric unit holds Tb at (0.1541, 0.2500, 0.1765), Zn at (0.3367, 0.0080, 0.6688), Zn at (0.3684, 0.7500, 0.0437) and Pd at (0.0807, 0.7500, 0.3705).

=====

Record 2
First-principles (PBE) data for an optimized crystal structure of MnVP3, as listed in Alexandria via LeMat-Bulk.

For the calculated formation energy, the calculation gives 0.537 eV/atom. The electronic total energy is -6.367 eV per atom.

The space group is Pm-3m (No. 221) and the conventional cell measures 4.3995, 4.3995 and 4.3995 Å, with angles of 90.00, 90.00 and 90.00 degrees. The asymmetric unit holds Mn at (0.0000, 0.0000, 0.0000), V at (0.5000, 0.5000, 0.5000) and P at (0.0000, 0.0000, 0.5000).

=====

Record 3
First-principles (PBE) data for an optimized crystal structure of PmTlPd5, as listed in Alexandria via LeMat-Bulk.

For the calculated formation energy, the calculation gives 0.189 eV/atom. The electronic total energy is -4.537 eV per atom.

The space group is Imm2 (No. 44) and the conventional cell measures 6.9455, 7.4119 and 7.4165 Å, with angles of 90.00, 90.00 and 90.00 degrees. The asymmetric unit holds Pm at (0.0000, 0.0000, 0.0000), Tl at (0.0000, 0.5000, 0.8757), Pd at (0.0000, 0.0000, 0.3683), Pd at (0.0000, 0.3177, 0.2355) and Pd at (0.1880, 0.0000, 0.6741).

=====

Record 4
First-principles (PBE) data for an optimized crystal structure of Ho2Zn2Ga3, as listed in Alexandria via LeMat-Bulk.

For the calculated formation energy, the calculation gives -0.535 eV/atom. The electronic total energy is -3.504 eV per atom.

The space group is Cmcm (No. 63) and the conventional cell measures 4.2823, 18.5355 and 6.8824 Å, with angles of 90.00, 90.00 and 90.00 degrees. The asymmetric unit holds Ho at (0.0000, 0.0495, 0.2500), Ho at (0.0000, 0.1568, 0.7500), Zn at (0.0000, 0.3143, 0.5614), Ga at (0.0000, 0.2235, 0.2500) and Ga at (0.0000, 0.4397, 0.0702).

=====

Q: Number 3 is which compound?
A: PmTlPd5